[1]
This record from the Alexandria database describes a geometry-optimized RbTbO2 structure. The functional is PBE.

Cell lengths 3.5196, 3.5196, 6.9625 Å; angles 75.36, 75.36, 60.00 degrees
Closest atoms and distances in Å follow each position.
Fractional coordinates of all 4 atoms:
Rb 0.4970 0.4970 0.5089  6 O 2.91-3.03
Tb 0.6669 0.6669 0.9994  6 O 2.33-2.35
O 0.0598 0.0598 0.8206  3 Tb 2.35
O 0.2763 0.2763 0.1711  3 Tb 2.33

Values from the calculation:
Electronic total energy ... -6.53 eV/atom
Symmetry ... R3m (160)
Total moment ... 0.00 Bohr magnetons per cell
Energy relative to the elements, uncorrected ... -2.651 eV/atom

[2]
This record from the Alexandria database describes a geometry-optimized RbTbO structure. The functional is PBE.

Cell lengths 3.5112, 3.5049, 15.0698 Å; angles 90.00, 90.00, 120.06 degrees
Closest atoms and distances in Å follow each position.
Fractional coordinates of all 6 atoms:
O 0.5564 0.1127 0.0000  6 Rb 2.64
O 0.3330 0.6660 0.5000  6 Tb 2.57
Tb 0.6664 0.3328 0.3949  3 O 2.57
Tb 0.6664 0.3328 0.6051  3 O 2.57
Rb 0.2222 0.4445 0.8878  3 O 2.64
Rb 0.2222 0.4445 0.1122  3 O 2.64

Values from the calculation:
Electronic total energy ... -4.42 eV/atom
Symmetry ... Amm2 (38)
Total moment ... 0.57 Bohr magnetons per cell
Energy relative to the elements, uncorrected ... -0.897 eV/atom

[3]
This record from the Alexandria database describes a geometry-optimized RbTb2O3 structure. The functional is PBE.

Cell lengths 6.3556, 6.0776, 6.0776 Å; angles 119.98, 90.00, 90.00 degrees
Closest atoms and distances in Å follow each position.
Fractional coordinates of all 12 atoms:
Rb 0.2500 0.5000 0.5000  6 O 3.04, 2 Rb 3.18
Rb 0.7500 0.5000 0.5000  6 O 3.04, 2 Rb 3.18
Tb 0.5000 0.8333 0.1667  6 O 2.37
Tb 0.0000 0.8333 0.1667  6 O 2.37
Tb 0.0000 0.1667 0.8333  6 O 2.37
Tb 0.5000 0.1667 0.8333  6 O 2.37
O 0.7500 0.5000 0.0001  4 Tb 2.37
O 0.7500 0.0001 0.5000  4 Tb 2.37
O 0.2500 0.5000 0.9999  4 Tb 2.37
O 0.7500 0.0000 0.0000  4 Tb 2.37
O 0.2500 0.0000 0.0000  4 Tb 2.37
O 0.2500 0.9999 0.5000  4 Tb 2.37

Values from the calculation:
Electronic total energy ... -6.85 eV/atom
Symmetry ... P6/mmm (191)
Total moment ... 0.00 Bohr magnetons per cell
Energy relative to the elements, uncorrected ... -2.670 eV/atom

[4]
This record from the Alexandria database describes a geometry-optimized RbTbTe2O8 structure. The functional is PBE.

Cell lengths 5.9790, 5.9790, 8.2236 Å; angles 90.00, 90.00, 120.00 degrees
Closest atoms and distances in Å follow each position.
Fractional coordinates of all 12 atoms:
Rb 0.0000 0.0000 0.0000  12 O 3.23-3.46
Tb 0.0000 0.0000 0.5000  6 O 2.26
Te 0.6667 0.3333 0.2505  4 O 1.82-1.85
Te 0.3333 0.6667 0.7495  4 O 1.82-1.85
O 0.3333 0.6667 0.9706  1 Te 1.82
O 0.3370 0.2152 0.3288  1 Te 1.85
O 0.7848 0.1219 0.3288  1 Te 1.85
O 0.6667 0.3333 0.0294  1 Te 1.82
O 0.2152 0.8781 0.6712  1 Te 1.85
O 0.6630 0.7848 0.6712  1 Te 1.85
O 0.1219 0.3370 0.6712  1 Te 1.85
O 0.8781 0.6630 0.3288  1 Te 1.85

Values from the calculation:
Electronic total energy ... -5.88 eV/atom
Symmetry ... P-3 (147)
Total moment ... 0.00 Bohr magnetons per cell
Energy relative to the elements, uncorrected ... -1.580 eV/atom

[5]
This record from the Alexandria database describes a geometry-optimized Rb2TbTe3O12 structure. The functional is PBE.

Cell lengths 7.6085, 7.6085, 7.6085 Å; angles 58.38, 58.38, 58.38 degrees
Closest atoms and distances in Å follow each position.
Fractional coordinates of all 18 atoms:
Rb 0.6211 0.6211 0.6211  6 O 3.23-3.26
Rb 0.3789 0.3789 0.3789  6 O 3.23-3.26
Tb 0.0000 0.0000 0.0000  6 O 2.26
Te 0.5000 0.0000 0.0000  6 O 1.89-1.98
Te 0.0000 0.5000 0.0000  6 O 1.89-1.98
Te 0.0000 0.0000 0.5000  6 O 1.89-1.98
O 0.3148 0.3148 0.9168  2 Te 1.98
O 0.9232 0.9232 0.3571  1 Te 1.89
O 0.3571 0.9232 0.9232  1 Te 1.89
O 0.9168 0.3148 0.3148  2 Te 1.98
O 0.9232 0.3571 0.9232  1 Te 1.89
O 0.3148 0.9168 0.3148  2 Te 1.98
O 0.6852 0.6852 0.0832  2 Te 1.98
O 0.0768 0.0768 0.6429  1 Te 1.89
O 0.6429 0.0768 0.0768  1 Te 1.89
O 0.0832 0.6852 0.6852  2 Te 1.98
O 0.0768 0.6429 0.0768  1 Te 1.89
O 0.6852 0.0832 0.6852  2 Te 1.98

Values from the calculation:
Electronic total energy ... -5.66 eV/atom
Symmetry ... R-3m (166)
Total moment ... 0.80 Bohr magnetons per cell
Energy relative to the elements, uncorrected ... -1.462 eV/atom

[6]
This record from the Alexandria database describes a geometry-optimized RbTbTeO4 structure. The functional is PBE.

Cell lengths 5.9329, 6.1386, 8.5225 Å; angles 90.00, 115.21, 90.00 degrees
Closest atoms and distances in Å follow each position.
Fractional coordinates of all 14 atoms:
Rb 0.4517 0.7500 0.8574  6 O 2.87-3.17
Rb 0.5483 0.2500 0.1426  6 O 2.87-3.17
Tb 0.7975 0.7500 0.4628  6 O 2.25-2.42
Tb 0.2025 0.2500 0.5372  6 O 2.25-2.42
Te 0.1742 0.7500 0.2637  4 O 1.93-2.06
Te 0.8258 0.2500 0.7363  4 O 1.93-2.06
O 0.9980 0.4866 0.6629  1 Te 2.02
O 0.0020 0.9866 0.3371  1 Te 2.02
O 0.0020 0.5134 0.3371  1 Te 2.02
O 0.9980 0.0134 0.6629  1 Te 2.02
O 0.4718 0.7500 0.2000  1 Te 2.06, 1 Tb 2.25
O 0.5282 0.2500 0.8000  1 Te 2.06, 1 Tb 2.25
O 0.4311 0.7500 0.4978  1 Te 1.93
O 0.5689 0.2500 0.5022  1 Te 1.93

Values from the calculation:
Electronic total energy ... -6.13 eV/atom
Symmetry ... P2_1/m (11)
Total moment ... 0.00 Bohr magnetons per cell
Energy relative to the elements, uncorrected ... -2.050 eV/atom

[7]
This record from the Alexandria database describes a geometry-optimized RbTbTiO4 structure. The functional is PBE.

Cell lengths 5.9583, 6.0541, 7.7661 Å; angles 90.00, 108.58, 90.00 degrees
Closest atoms and distances in Å follow each position.
Fractional coordinates of all 14 atoms:
Rb 0.6918 0.7500 0.9328  2 O 2.73-2.86
Rb 0.3082 0.2500 0.0672  2 O 2.73-2.86
Tb 0.8113 0.7500 0.4584  6 O 2.27-2.40
Tb 0.1887 0.2500 0.5416  6 O 2.27-2.40
Ti 0.2698 0.7500 0.3453  4 O 1.78-1.87
Ti 0.7302 0.2500 0.6547  4 O 1.78-1.87
O 0.9464 0.4768 0.6653  1 Ti 1.87
O 0.0536 0.9768 0.3347  1 Ti 1.87
O 0.0536 0.5232 0.3347  1 Ti 1.87
O 0.9464 0.0232 0.6653  1 Ti 1.87
O 0.4695 0.7500 0.2088  1 Ti 1.83
O 0.5305 0.2500 0.7912  1 Ti 1.83
O 0.4865 0.7500 0.5649  1 Ti 1.78
O 0.5135 0.2500 0.4351  1 Ti 1.78

Values from the calculation:
Electronic total energy ... -7.68 eV/atom
Symmetry ... P2_1/m (11)
Total moment ... 0.00 Bohr magnetons per cell
Energy relative to the elements, uncorrected ... -2.923 eV/atom

[8]
This record from the Alexandria database describes a geometry-optimized Rb4Tb3TiO8 structure. The functional is PBE.

Cell lengths 6.9093, 7.6363, 6.9088 Å; angles 116.89, 120.00, 90.00 degrees
Closest atoms and distances in Å follow each position.
Fractional coordinates of all 16 atoms:
Rb 0.5000 0.0000 0.0000  6 O 3.01
Rb 0.5000 0.0000 0.5000  6 O 2.89-2.90
Rb 0.0000 0.0000 0.0000  6 O 2.89-2.90
Rb 0.0000 0.0000 0.5000  6 O 2.89-2.90
Tb 0.5000 0.5000 0.0000  6 O 2.31-2.33
Tb 0.5000 0.5000 0.5000  6 O 2.31-2.33
Tb 0.0000 0.5000 0.5000  6 O 2.31-2.33
Ti 0.0000 0.5000 0.0000  6 O 2.18-2.19
O 0.2142 0.6698 0.9556  1 Ti 2.19, 2 Tb 2.33
O 0.2140 0.6697 0.4281  1 Ti 2.18, 2 Tb 2.33
O 0.2738 0.3213 0.5476  3 Tb 2.31
O 0.7414 0.6698 0.9556  1 Ti 2.19, 2 Tb 2.33
O 0.2586 0.3302 0.0444  1 Ti 2.19, 2 Tb 2.33
O 0.7262 0.6787 0.4524  3 Tb 2.31
O 0.7860 0.3303 0.5719  1 Ti 2.18, 2 Tb 2.33
O 0.7858 0.3302 0.0444  1 Ti 2.19, 2 Tb 2.33

Values from the calculation:
Electronic total energy ... -6.60 eV/atom
Symmetry ... R-3m (166)
Total moment ... 0.99 Bohr magnetons per cell
Energy relative to the elements, uncorrected ... -2.515 eV/atom

[9]
This record from the Alexandria database describes a geometry-optimized Rb3Tb2TlO6 structure. The functional is PBE.

Cell lengths 6.1136, 6.1136, 6.8838 Å; angles 98.48, 98.48, 120.00 degrees
Closest atoms and distances in Å follow each position.
Fractional coordinates of all 12 atoms:
Rb 0.1637 0.8363 0.5000  6 O 2.90-2.94
Rb 0.8363 0.1637 0.5000  6 O 2.90-2.94
Rb 0.5000 0.5000 0.5000  6 O 2.89-2.94
Tb 0.3331 0.6669 0.0000  6 O 2.34
Tb 0.6669 0.3331 0.0000  6 O 2.34
Tl 0.0000 0.0000 0.0000  6 O 2.40-2.41
O 0.9394 0.5977 0.8179  2 Tb 2.34, 1 Tl 2.41
O 0.7190 0.7190 0.1814  2 Tb 2.34, 1 Tl 2.40
O 0.0606 0.4023 0.1821  2 Tb 2.34, 1 Tl 2.41
O 0.5977 0.9394 0.8179  2 Tb 2.34, 1 Tl 2.41
O 0.2810 0.2810 0.8186  2 Tb 2.34, 1 Tl 2.40
O 0.4023 0.0606 0.1821  2 Tb 2.34, 1 Tl 2.41

Values from the calculation:
Electronic total energy ... -5.78 eV/atom
Symmetry ... C2/m (12)
Total moment ... 0.00 Bohr magnetons per cell
Energy relative to the elements, uncorrected ... -2.091 eV/atom

[10]
This record from the Alexandria database describes a geometry-optimized Rb4Tb3TlO8 structure. The functional is PBE.

Cell lengths 7.0605, 7.7383, 7.0608 Å; angles 117.15, 120.00, 90.00 degrees
Closest atoms and distances in Å follow each position.
Fractional coordinates of all 16 atoms:
Rb 0.5000 0.0000 0.0000  6 O 2.89
Rb 0.5000 0.0000 0.5000  6 O 2.93-2.96
Rb 0.0000 0.0000 0.0000  6 O 2.93-2.96
Rb 0.0000 0.0000 0.5000  6 O 2.93-2.96
Tb 0.5000 0.5000 0.0000  6 O 2.34-2.35
Tb 0.5000 0.5000 0.5000  6 O 2.34-2.35
Tb 0.0000 0.5000 0.5000  6 O 2.34-2.35
Tl 0.0000 0.5000 0.0000  6 O 2.40-2.41
O 0.2312 0.6825 0.9513  2 Tb 2.35, 1 Tl 2.40
O 0.2313 0.6826 0.4627  2 Tb 2.35, 1 Tl 2.41
O 0.2753 0.3260 0.5507  3 Tb 2.34
O 0.7200 0.6825 0.9513  2 Tb 2.35, 1 Tl 2.40
O 0.2800 0.3175 0.0487  2 Tb 2.35, 1 Tl 2.40
O 0.7247 0.6740 0.4493  3 Tb 2.34
O 0.7687 0.3174 0.5373  2 Tb 2.35, 1 Tl 2.41
O 0.7688 0.3175 0.0487  2 Tb 2.35, 1 Tl 2.40

Values from the calculation:
Electronic total energy ... -5.97 eV/atom
Symmetry ... R-3m (166)
Total moment ... 0.00 Bohr magnetons per cell
Energy relative to the elements, uncorrected ... -2.238 eV/atom

[11]
This record from the Alexandria database describes a geometry-optimized Rb2TbTlO4 structure. The functional is PBE.

Cell lengths 3.5278, 6.1198, 6.9006 Å; angles 107.96, 90.00, 90.00 degrees
Closest atoms and distances in Å follow each position.
Fractional coordinates of all 8 atoms:
Rb 0.5000 0.0000 0.5000  6 O 2.92-2.94
Rb 0.0000 0.5000 0.5000  6 O 2.87-2.90
Tb 0.5000 0.5000 0.0000  6 O 2.33-2.37
Tl 0.0000 0.0000 0.0000  6 O 2.36-2.45
O 0.5000 0.2298 0.1829  2 Tl 2.36, 1 Tb 2.37
O 0.5000 0.7702 0.8171  2 Tl 2.36, 1 Tb 2.37
O 0.0000 0.2849 0.8157  2 Tb 2.33, 1 Tl 2.45
O 0.0000 0.7151 0.1843  2 Tb 2.33, 1 Tl 2.45

Values from the calculation:
Electronic total energy ... -5.40 eV/atom
Symmetry ... P2/m (10)
Total moment ... 0.00 Bohr magnetons per cell
Energy relative to the elements, uncorrected ... -1.806 eV/atom

[12]
This record from the Alexandria database describes a geometry-optimized Rb2TbTmO4 structure. The functional is PBE.

Cell lengths 3.4922, 6.0491, 6.8582 Å; angles 107.10, 90.00, 90.00 degrees
Closest atoms and distances in Å follow each position.
Fractional coordinates of all 8 atoms:
Rb 0.5000 0.0000 0.5000  6 O 2.92
Rb 0.0000 0.5000 0.5000  6 O 2.95
Tb 0.5000 0.5000 0.0000  6 O 2.33-2.34
Tm 0.0000 0.0000 0.0000  6 O 2.29-2.30
O 0.5000 0.2200 0.1739  2 Tm 2.30, 1 Tb 2.34
O 0.5000 0.7800 0.8261  2 Tm 2.30, 1 Tb 2.34
O 0.0000 0.2701 0.8251  1 Tm 2.29, 2 Tb 2.33
O 0.0000 0.7299 0.1749  1 Tm 2.29, 2 Tb 2.33

Values from the calculation:
Electronic total energy ... -6.57 eV/atom
Symmetry ... P2/m (10)
Total moment ... 0.00 Bohr magnetons per cell
Energy relative to the elements, uncorrected ... -2.710 eV/atom

[13]
This record from the Alexandria database describes a geometry-optimized Rb3TbTm2O6 structure. The functional is PBE.

Cell lengths 6.0251, 6.0251, 6.8511 Å; angles 98.43, 98.43, 120.00 degrees
Closest atoms and distances in Å follow each position.
Fractional coordinates of all 12 atoms:
Rb 0.1669 0.8331 0.5000  6 O 2.91-2.95
Rb 0.8331 0.1669 0.5000  6 O 2.91-2.95
Rb 0.5000 0.5000 0.5000  6 O 2.91-2.94
Tb 0.0000 0.0000 0.0000  6 O 2.34
Tm 0.3333 0.6667 0.0000  6 O 2.29
Tm 0.6667 0.3333 0.0000  6 O 2.29
O 0.9420 0.6032 0.8261  2 Tm 2.29, 1 Tb 2.34
O 0.7191 0.7191 0.1738  2 Tm 2.29, 1 Tb 2.34
O 0.0580 0.3968 0.1739  2 Tm 2.29, 1 Tb 2.34
O 0.6032 0.9420 0.8261  2 Tm 2.29, 1 Tb 2.34
O 0.2809 0.2809 0.8262  2 Tm 2.29, 1 Tb 2.34
O 0.3968 0.0580 0.1739  2 Tm 2.29, 1 Tb 2.34

Values from the calculation:
Electronic total energy ... -6.57 eV/atom
Symmetry ... C2/m (12)
Total moment ... 0.00 Bohr magnetons per cell
Energy relative to the elements, uncorrected ... -2.722 eV/atom

[14]
This record from the Alexandria database describes a geometry-optimized Rb4TbU3O12 structure. The functional is PBE.

Cell lengths 7.5519, 7.5519, 7.5519 Å; angles 109.47, 109.47, 109.47 degrees
Closest atoms and distances in Å follow each position.
Fractional coordinates of all 20 atoms:
Rb 0.5000 0.5000 0.5000  12 O 3.08-3.09
Rb 0.0000 0.0000 0.5000  12 O 3.08-3.09
Rb 0.5000 0.0000 0.0000  12 O 3.08-3.09
Rb 0.0000 0.5000 0.0000  12 O 3.08-3.09
Tb 0.0000 0.0000 0.0000  6 O 2.32
U 0.5000 0.0000 0.5000  6 O 2.04-2.18
U 0.5000 0.5000 0.0000  6 O 2.04-2.18
U 0.0000 0.5000 0.5000  6 O 2.04-2.18
O 0.2500 0.5000 0.7500  2 U 2.18
O 0.7335 0.0000 0.7335  1 U 2.04
O 0.2665 0.0000 0.2665  1 U 2.04
O 0.7500 0.5000 0.2500  2 U 2.18
O 0.7335 0.7335 0.0000  1 U 2.04
O 0.2665 0.2665 0.0000  1 U 2.04
O 0.7500 0.2500 0.5000  2 U 2.18
O 0.2500 0.7500 0.5000  2 U 2.18
O 0.5000 0.2500 0.7500  2 U 2.18
O 0.0000 0.7335 0.7335  1 U 2.04
O 0.5000 0.7500 0.2500  2 U 2.18
O 0.0000 0.2665 0.2665  1 U 2.04

Values from the calculation:
Electronic total energy ... -7.98 eV/atom
Symmetry ... Im-3m (229)
Total moment ... 1.00 Bohr magnetons per cell
Energy relative to the elements, uncorrected ... -2.890 eV/atom